1.
## CaY2Te (PBE)

Data for a relaxed structure of CaY2Te.

Cell: 10.312 10.312 10.312 Å, 22.32 22.32 22.32°
Fractional positions:
Ca 0.000 0.000 0.000
Y 0.233 0.233 0.233
Y 0.767 0.767 0.767
Te 0.500 0.500 0.500

ΔE_f (raw) in eV/atom: -0.534
Spin magnetization in μB/f.u.: 0.00
Calculated volume in Å³ per cell: 139
Crystal system: trigonal
DOS(E_F) in states/eV/atom: 0.778


2.
## YCuRe2 (PBE)

Data for a relaxed structure of YCuRe2.

Cell: 5.543 5.543 5.543 Å, 146.46 132.97 58.99°
Fractional positions:
Y 0.000 0.000 0.000
Cu 0.500 0.500 0.000
Re 0.262 0.762 0.500
Re 0.738 0.238 0.500

Spin magnetization in μB/f.u.: 0.00
Calculated volume in Å³ per cell: 68
Crystal system: orthorhombic
DOS(E_F) in states/eV/atom: 0.743
Calculated formation energy in eV per atom: 0.39
Energy relative to the lowest polymorph listed for this composition in meV per atom: 306


3.
## CdGa4Hg (PBE)

Data for a relaxed structure of CdGa4Hg.

Cell: 5.672 5.672 5.672 Å, 60.00 60.00 60.00°
Fractional positions:
Cd 0.000 0.000 0.000
Ga 0.375 0.375 0.375
Ga 0.375 0.375 0.875
Ga 0.375 0.875 0.375
Ga 0.875 0.375 0.375
Hg 0.750 0.750 0.750

Spin magnetization in μB/f.u.: 0.00
Calculated volume in Å³ per cell: 129
Crystal system: cubic
DOS(E_F) in states/eV/atom: 0.563
Calculated formation energy in eV per atom: 0.09
Energy relative to the lowest polymorph listed for this composition in meV per atom: 28


4.
## Na3FeGe (PBE)

Data for a relaxed structure of Na3FeGe.

Cell: 5.336 5.336 5.336 Å, 90.00 90.00 90.00°
Fractional positions:
Na 0.000 0.000 0.500
Na 0.000 0.500 0.000
Na 0.500 0.000 0.000
Fe 0.000 0.000 0.000
Ge 0.500 0.500 0.500

Spin magnetization in μB/f.u.: 2.93
Calculated volume in Å³ per cell: 152
Crystal system: cubic
DOS(E_F) in states/eV/atom: 3.287
Calculated formation energy in eV per atom: 1.01
Energy relative to the lowest polymorph listed for this composition in meV per atom: 121


5.
## Pr6Sb3SeS2 (PBE)

Data for a relaxed structure of Pr6Sb3SeS2.

Cell: 7.569 7.569 7.544 Å, 99.65 99.65 119.88°
Fractional positions:
Pr 0.082 0.423 0.767
Pr 0.236 0.236 0.229
Pr 0.423 0.082 0.767
Pr 0.577 0.918 0.233
Pr 0.764 0.764 0.771
Pr 0.918 0.577 0.233
Sb 0.000 0.000 0.500
Sb 0.336 0.664 0.500
Sb 0.664 0.336 0.500
Se 0.500 0.500 0.000
S 0.167 0.833 0.000
S 0.833 0.167 0.000

ΔE_f (raw) in eV/atom: -1.553
Spin magnetization in μB/f.u.: 0.00
Calculated volume in Å³ per cell: 353
Crystal system: monoclinic
DOS(E_F) in states/eV/atom: 0.426


6.
## ReNiP (PBE)

Data for a relaxed structure of ReNiP.

Cell: 3.910 3.910 3.910 Å, 60.00 60.00 60.00°
Fractional positions:
Re 0.000 0.000 0.000
Ni 0.250 0.250 0.250
P 0.500 0.500 0.500

Spin magnetization in μB/f.u.: 0.00
Calculated volume in Å³ per cell: 42
Crystal system: cubic
DOS(E_F) in states/eV/atom: 1.094
Calculated formation energy in eV per atom: 0.59
Energy relative to the lowest polymorph listed for this composition in meV per atom: 801


7.
## RbMg6Tl12 (PBE)

Data for a relaxed structure of RbMg6Tl12.

Cell: 8.713 8.713 8.713 Å, 105.38 105.38 105.38°
Fractional positions:
Rb 0.000 0.000 0.000
Mg 0.277 0.277 0.706
Mg 0.277 0.706 0.277
Mg 0.294 0.723 0.723
Mg 0.706 0.277 0.277
Mg 0.723 0.294 0.723
Mg 0.723 0.723 0.294
Tl 0.117 0.500 0.883
Tl 0.117 0.883 0.500
Tl 0.149 0.403 0.403
Tl 0.403 0.149 0.403
Tl 0.403 0.403 0.149
Tl 0.500 0.117 0.883
Tl 0.500 0.883 0.117
Tl 0.597 0.597 0.851
Tl 0.597 0.851 0.597
Tl 0.851 0.597 0.597
Tl 0.883 0.117 0.500
Tl 0.883 0.500 0.117

Spin magnetization in μB/f.u.: 0.00
Calculated volume in Å³ per cell: 574
Crystal system: trigonal
DOS(E_F) in states/eV/atom: 0.564
Calculated formation energy in eV per atom: 0.02
Energy relative to the lowest polymorph listed for this composition in meV per atom: 15


8.
## CeCo4Ge2 (PBE)

Data for a relaxed structure of CeCo4Ge2.

Cell: 16.292 3.951 6.105 Å, 90.00 90.00 90.00°
Fractional positions:
Ce 0.136 0.250 0.011
Ce 0.364 0.750 0.511
Ce 0.636 0.250 0.489
Ce 0.864 0.750 0.989
Co 0.032 0.750 0.159
Co 0.078 0.250 0.493
Co 0.181 0.750 0.293
Co 0.188 0.750 0.697
Co 0.312 0.250 0.197
Co 0.319 0.250 0.793
Co 0.422 0.750 0.993
Co 0.468 0.250 0.659
Co 0.532 0.750 0.341
Co 0.578 0.250 0.007
Co 0.681 0.750 0.207
Co 0.688 0.750 0.803
Co 0.812 0.250 0.303
Co 0.819 0.250 0.707
Co 0.922 0.750 0.507
Co 0.968 0.250 0.841
Ge 0.042 0.750 0.725
Ge 0.222 0.250 0.498
Ge 0.278 0.750 0.998
Ge 0.458 0.250 0.225
Ge 0.542 0.750 0.775
Ge 0.722 0.250 0.002
Ge 0.778 0.750 0.502
Ge 0.958 0.250 0.275

Spin magnetization in μB/f.u.: 0.42
Calculated volume in Å³ per cell: 393
Crystal system: orthorhombic
DOS(E_F) in states/eV/atom: 1.054
Calculated formation energy in eV per atom: -0.27
Energy relative to the lowest polymorph listed for this composition in meV per atom: 81


9.
## BaHg3Pd (PBE)

Data for a relaxed structure of BaHg3Pd.

Cell: 5.321 5.321 5.321 Å, 90.00 90.00 90.00°
Fractional positions:
Ba 0.000 0.000 0.000
Hg 0.000 0.500 0.500
Hg 0.500 0.000 0.500
Hg 0.500 0.500 0.000
Pd 0.500 0.500 0.500

Spin magnetization in μB/f.u.: 0.00
Calculated volume in Å³ per cell: 151
Crystal system: cubic
DOS(E_F) in states/eV/atom: 0.581
Calculated formation energy in eV per atom: -0.35
Energy relative to the lowest polymorph listed for this composition in meV per atom: 36


10.
## Zn2Cd3Hg3 (PBE)

Data for a relaxed structure of Zn2Cd3Hg3.

Cell: 8.789 8.789 5.253 Å, 90.00 90.00 120.00°
Fractional positions:
Zn 0.333 0.667 0.000
Zn 0.333 0.667 0.500
Zn 0.667 0.333 0.000
Zn 0.667 0.333 0.500
Cd 0.000 0.213 0.250
Cd 0.000 0.787 0.750
Cd 0.213 0.000 0.250
Cd 0.213 0.213 0.750
Cd 0.787 0.000 0.750
Cd 0.787 0.787 0.250
Hg 0.000 0.406 0.750
Hg 0.000 0.594 0.250
Hg 0.406 0.000 0.750
Hg 0.406 0.406 0.250
Hg 0.594 0.000 0.250
Hg 0.594 0.594 0.750

Spin magnetization in μB/f.u.: 0.00
Calculated volume in Å³ per cell: 351
Crystal system: hexagonal
DOS(E_F) in states/eV/atom: 0.311
Calculated formation energy in eV per atom: 0.07


11.
## Sc2ReRu (PBE)

Data for a relaxed structure of Sc2ReRu.

Cell: 5.809 5.809 5.809 Å, 102.92 102.92 123.56°
Fractional positions:
Sc 0.109 0.625 0.984
Sc 0.375 0.359 0.484
Sc 0.641 0.125 0.016
Sc 0.875 0.891 0.516
Re 0.250 0.750 0.500
Re 0.500 0.500 0.000
Ru 0.000 0.000 0.000
Ru 0.750 0.250 0.500

Spin magnetization in μB/f.u.: 0.00
Calculated volume in Å³ per cell: 144
Crystal system: tetragonal
DOS(E_F) in states/eV/atom: 0.979
Calculated formation energy in eV per atom: 0.38


12.
## AlZn (PBE)

Data for a relaxed structure of AlZn.

Cell: 5.035 5.035 4.972 Å, 102.10 102.10 31.39°
Fractional positions:
Al 0.123 0.123 0.371
Al 0.877 0.877 0.629
Zn 0.372 0.372 0.126
Zn 0.628 0.628 0.874

Spin magnetization in μB/f.u.: 0.00
Calculated volume in Å³ per cell: 64
Crystal system: monoclinic
DOS(E_F) in states/eV/atom: 0.142
Calculated formation energy in eV per atom: 0.03